Entry 1:
Entry from Alexandria via LeMat-Bulk: a relaxed LiSm2Ga crystal (GGA-PBE).

The value obtained for the density is 6.3 g/cm³. As for the energy of formation from the pure elements: -0.30 eV/atom. The calculation puts the magnetization at 0.00 Bohr magnetons per cell.

The structure belongs to space group Fm-3m (No. 225); the cell edges are 7.352, 7.352 and 7.352 Å and the angles 90.00°, 90.00° and 90.00°. Symmetry generates all atoms from Li at (0.000, 0.000, 0.000), Sm at (0.250, 0.250, 0.250) and Ga at (0.000, 0.000, 0.500).

=====

Entry 2:
Entry from Alexandria via LeMat-Bulk: a relaxed Tl4In2Te crystal (GGA-PBE).

The value obtained for the density is 6.6 g/cm³. The calculation puts the magnetization at 0.00 Bohr magnetons per cell.

The structure belongs to space group I4/mmm (No. 139); the cell edges are 6.208, 6.208 and 15.401 Å and the angles 90.00°, 90.00° and 90.00°. Symmetry generates all atoms from Tl at (0.000, 0.000, 0.201), Tl at (0.000, 0.500, 0.000), In at (0.000, 0.000, 0.402) and Te at (0.000, 0.000, 0.000).

=====

Entry 3:
Entry from Alexandria via LeMat-Bulk: a relaxed AlCuAsP2 crystal (GGA-PBE).

The value obtained for the density is 3.7 g/cm³. As for the energy of formation from the pure elements: 0.82 eV/atom. The calculation puts the magnetization at 0.00 Bohr magnetons per cell.

The structure belongs to space group P4/mmm (No. 123); the cell edges are 4.848, 4.848 and 4.399 Å and the angles 90.00°, 90.00° and 90.00°. Symmetry generates all atoms from Al at (0.000, 0.000, 0.000), Cu at (0.500, 0.500, 0.000), As at (0.500, 0.500, 0.500) and P at (0.000, 0.500, 0.500).

=====

Entry 4:
Entry from Alexandria via LeMat-Bulk: a relaxed MgZnRh2 crystal (GGA-PBE).

The value obtained for the density is 8.2 g/cm³. As for the energy of formation from the pure elements: -0.22 eV/atom. The calculation puts the magnetization at 4.85 Bohr magnetons per cell.

The structure belongs to space group F-43m (No. 216); the cell edges are 6.205, 6.205 and 6.205 Å and the angles 90.00°, 90.00° and 90.00°. Symmetry generates all atoms from Mg at (0.000, 0.000, 0.000), Zn at (0.250, 0.250, 0.250), Rh at (0.000, 0.000, 0.500) and Rh at (0.250, 0.250, 0.750).

=====

Values for VASP energy, eV per atom, ordered as above
-3.8959, -2.3436, -3.8409, -4.6172